Record 1
PBE Ta12GeB6, relaxed; D(E_F) = 0.527 states/eV per atom; spin magnetization = 0.00 μB/atom
1.0
-0.198 6.720 -1.963
-5.111 -3.529 -3.237
-0.892 -0.434 6.933
Ta B Ge
12 6 1
Direct
0.197 0.709 0.906
0.291 0.488 0.197
0.512 0.803 0.709
0.709 0.906 0.197
0.291 0.094 0.803
0.803 0.709 0.512
0.906 0.197 0.709
0.709 0.512 0.803
0.197 0.291 0.488
0.803 0.291 0.094
0.094 0.803 0.291
0.488 0.197 0.291
0.106 0.606 0.500
0.500 0.894 0.394
0.500 0.106 0.606
0.894 0.394 0.500
0.394 0.500 0.894
0.606 0.500 0.106
0.000 0.000 0.000



Record 2
PBE TaGeB2, relaxed; D(E_F) = 0.131 states/eV per atom; spin magnetization = 0.00 μB/atom
1.0
5.786 0.000 0.000
0.000 5.786 0.000
2.893 2.893 2.968
Ge B Ta
2 4 2
Direct
0.250 0.750 0.500
0.500 0.500 0.000
0.591 0.125 0.250
0.159 0.625 0.250
0.375 0.409 0.750
0.875 0.841 0.750
0.750 0.250 0.500
0.000 0.000 0.000



Record 3
PBE Ta5GeB2, relaxed; D(E_F) = 0.330 states/eV per atom; spin magnetization = 0.00 μB/atom
1.0
-4.709 3.565 4.352
0.685 -3.127 6.601
5.193 2.698 -4.424
Ta B Ge
10 4 2
Direct
0.471 0.303 0.500
0.971 0.471 0.169
0.000 0.000 0.000
0.500 0.500 0.000
0.197 0.029 0.500
0.803 0.971 0.500
0.303 0.803 0.831
0.029 0.529 0.831
0.697 0.197 0.169
0.529 0.697 0.500
0.620 0.120 0.741
0.380 0.880 0.259
0.120 0.380 0.500
0.880 0.620 0.500
0.750 0.750 0.000
0.250 0.250 0.000



Record 4
PBE TaGeB3, relaxed; energy above the most stable polymorph in this dataset = 0 meV/atom; D(E_F) = 0.259 states/eV per atom; spin magnetization = 0.00 μB/atom
1.0
-4.017 1.197 1.017
-1.185 -0.476 -4.120
-1.031 -4.116 0.772
B Ta Ge
3 1 1
Direct
0.500 0.000 0.000
0.000 0.500 0.000
0.000 0.000 0.500
0.000 0.000 0.000
0.500 0.500 0.500



| no. | energy of formation from the pure elements (eV/f.u.) |
| --- | --- |
| 1 | -6.66 |
| 2 | 2.11 |
| 3 | -4.73 |
| 4 | 7.30 |